No. 1
A plane-wave DFT calculation with PBEsol was carried out for a relaxed structure of HfGaO2.

formation energy (no corrections)	-1.6015	eV/atom
spin magnetization	0.18	Bohr magnetons per cell

The structure in POSCAR format:
```
HfGaO2
1.0
3.085 0.000 0.000
1.543 2.672 0.000
1.543 0.891 6.202
Ga O Hf
1 2 1
Direct
0.500 0.500 0.500 Ga
0.887 0.887 0.339 O
0.113 0.113 0.661 O
0.000 0.000 0.000 Hf
```

---

No. 2
A plane-wave DFT calculation with PBEsol was carried out for a relaxed structure of MgTi5.

formation energy from the elements	115	meV per atom
spin magnetization	0.01	Bohr magnetons per cell
ΔE to the lowest computed polymorph	0.98	kcal/mol of atoms

The structure in POSCAR format:
```
MgTi5
1.0
-0.173 2.531 1.320
-4.223 -1.222 1.790
3.551 -4.235 5.485
Ti Mg
5 1
Direct
0.106 0.500 0.213 Ti
0.448 0.500 0.896 Ti
0.342 0.000 0.685 Ti
0.661 0.000 0.323 Ti
0.001 0.000 0.002 Ti
0.774 0.500 0.549 Mg
```

---

No. 3
A plane-wave DFT calculation with PBEsol was carried out for a relaxed structure of Zn5Cu3.

formation energy from the elements	-76	meV per atom
spin magnetization	0.00	Bohr magnetons per cell
ΔE to the lowest computed polymorph	0.02	kcal/mol of atoms

The structure in POSCAR format:
```
Zn5Cu3
1.0
-0.205 -2.600 -2.728
5.178 -0.083 -0.310
-0.367 -3.732 3.585
Zn Cu
5 3
Direct
0.000 0.000 0.000 Zn
0.000 0.000 0.500 Zn
0.500 0.740 0.740 Zn
0.500 0.260 0.260 Zn
0.000 0.500 0.000 Zn
0.500 0.247 0.753 Cu
0.000 0.500 0.500 Cu
0.500 0.753 0.247 Cu
```

---

No. 4
A plane-wave DFT calculation with PBEsol was carried out for a relaxed structure of Ag3SI.

formation energy (no corrections)	-0.0627	eV/atom
spin magnetization	0.00	Bohr magnetons per cell

The structure in POSCAR format:
```
Ag3SI
1.0
4.444 0.034 0.000
-0.052 7.088 0.000
0.000 0.000 7.015
I Ag S
2 6 2
Direct
0.000 0.664 0.007 I
0.000 0.336 0.507 I
0.000 0.068 0.998 Ag
0.500 0.520 0.749 Ag
0.500 0.480 0.249 Ag
0.500 0.931 0.778 Ag
0.500 0.069 0.278 Ag
0.000 0.932 0.498 Ag
0.500 0.224 0.968 S
0.500 0.776 0.468 S
```

---

No. 5
A plane-wave DFT calculation with PBEsol was carried out for a relaxed structure of SbW2Br.

formation energy (no corrections)	0.5360	eV/atom
spin magnetization	0.00	Bohr magnetons per cell
ΔE to the lowest computed polymorph	0.00	kcal/mol of atoms

The structure in POSCAR format:
```
SbW2Br
1.0
-1.930 -1.886 1.324
2.499 0.571 1.571
-4.482 7.642 4.353
W Sb Br
2 1 1
Direct
0.500 0.500 0.770 W
0.000 0.000 0.970 W
0.500 0.500 0.213 Sb
0.000 0.000 0.547 Br
```

---

No. 6
A plane-wave DFT calculation with PBEsol was carried out for a relaxed structure of CsSe2N.

formation energy (no corrections)	0.2757	eV/atom
spin magnetization	2.02	Bohr magnetons per cell

The structure in POSCAR format:
```
CsSe2N
1.0
-5.400 -2.512 -0.491
-0.518 -5.949 -0.230
-2.429 -3.012 5.755
Se Cs N
2 1 1
Direct
0.903 0.903 0.290 Se
0.097 0.097 0.710 Se
0.500 0.500 0.500 Cs
0.000 0.000 0.000 N
```

---

No. 7
A plane-wave DFT calculation with PBEsol was carried out for a relaxed structure of SrGePbO4.

formation energy (no corrections)	-2.0058	eV/atom
spin magnetization	0.00	Bohr magnetons per cell

The structure in POSCAR format:
```
SrGePbO4
1.0
-1.971 5.590 0.830
-0.882 -1.361 7.073
9.298 3.021 1.741
Pb Ge O Sr
4 4 16 4
Direct
0.434 0.934 0.408 Pb
0.066 0.066 0.908 Pb
0.934 0.566 0.592 Pb
0.566 0.434 0.092 Pb
0.477 0.464 0.413 Ge
0.977 0.036 0.587 Ge
0.523 0.964 0.087 Ge
0.023 0.536 0.913 Ge
0.250 0.555 0.324 O
0.045 0.934 0.430 O
0.750 0.055 0.176 O
0.389 0.237 0.453 O
0.785 0.509 0.808 O
0.250 0.445 0.824 O
0.545 0.566 0.570 O
0.611 0.737 0.047 O
0.215 0.009 0.692 O
0.285 0.991 0.192 O
0.889 0.263 0.547 O
0.955 0.434 0.070 O
0.111 0.763 0.953 O
0.455 0.066 0.930 O
0.715 0.491 0.308 O
0.750 0.945 0.676 O
0.478 0.749 0.793 Sr
0.522 0.249 0.707 Sr
0.978 0.751 0.207 Sr
0.022 0.251 0.293 Sr
```

---

No. 8
A plane-wave DFT calculation with PBEsol was carried out for a relaxed structure of ZnSnO2.

formation energy (no corrections)	-1.0476	eV/atom
spin magnetization	0.00	Bohr magnetons per cell
ΔE to the lowest computed polymorph	5.18	kcal/mol of atoms

The structure in POSCAR format:
```
ZnSnO2
1.0
3.137 0.000 0.000
1.569 2.717 0.000
1.569 0.906 6.176
Sn Zn O
1 1 2
Direct
0.000 0.000 0.000 Sn
0.500 0.500 0.500 Zn
0.891 0.891 0.328 O
0.109 0.109 0.672 O
```

---

No. 9
A plane-wave DFT calculation with PBEsol was carried out for a relaxed structure of Zr5AlSb3.

formation energy (no corrections)	-0.7822	eV/atom
spin magnetization	0.00	Bohr magnetons per cell

The structure in POSCAR format:
```
Zr5AlSb3
1.0
5.791 0.000 0.000
0.000 8.595 0.000
0.000 -4.297 7.443
Sb Al Zr
6 2 10
Direct
0.750 0.387 0.387 Sb
0.750 0.000 0.613 Sb
0.250 0.387 0.000 Sb
0.250 0.000 0.387 Sb
0.250 0.613 0.613 Sb
0.750 0.613 0.000 Sb
0.000 0.000 0.000 Al
0.500 0.000 0.000 Al
0.500 0.667 0.333 Zr
0.250 0.728 0.000 Zr
0.000 0.333 0.667 Zr
0.500 0.333 0.667 Zr
0.000 0.667 0.333 Zr
0.750 0.728 0.728 Zr
0.750 0.272 0.000 Zr
0.750 0.000 0.272 Zr
0.250 0.000 0.728 Zr
0.250 0.272 0.272 Zr
```

---

No. 10
A plane-wave DFT calculation with PBEsol was carried out for a relaxed structure of Na6Co2AsC4O16.

formation energy (no corrections)	-1.4425	eV/atom
spin magnetization	14.14	Bohr magnetons per cell

The structure in POSCAR format:
```
Na6Co2AsC4O16
1.0
9.819 0.000 0.000
4.910 8.504 0.000
4.910 2.835 8.017
Na C O Co As
12 8 32 4 2
Direct
0.711 0.289 0.289 Na
0.711 0.289 0.711 Na
0.539 0.961 0.961 Na
0.289 0.711 0.711 Na
0.289 0.711 0.289 Na
0.711 0.711 0.289 Na
0.961 0.961 0.539 Na
0.961 0.539 0.961 Na
0.539 0.539 0.961 Na
0.539 0.961 0.539 Na
0.289 0.289 0.711 Na
0.961 0.539 0.539 Na
0.339 0.339 0.984 C
0.266 0.911 0.911 C
0.339 0.984 0.339 C
0.984 0.339 0.339 C
0.911 0.911 0.911 C
0.911 0.911 0.266 C
0.911 0.266 0.911 C
0.339 0.339 0.339 C
0.981 0.224 0.312 O
0.312 0.483 0.981 O
0.312 0.981 0.224 O
0.483 0.981 0.312 O
0.767 0.938 0.026 O
0.571 0.571 0.571 O
0.483 0.224 0.981 O
0.679 0.964 0.679 O
0.981 0.312 0.483 O
0.571 0.571 0.286 O
0.224 0.312 0.981 O
0.269 0.026 0.938 O
0.286 0.571 0.571 O
0.679 0.679 0.964 O
0.224 0.981 0.483 O
0.679 0.679 0.679 O
0.938 0.269 0.026 O
0.938 0.767 0.269 O
0.964 0.679 0.679 O
0.767 0.269 0.938 O
0.312 0.224 0.483 O
0.938 0.026 0.767 O
0.026 0.767 0.938 O
0.269 0.938 0.767 O
0.571 0.286 0.571 O
0.981 0.483 0.224 O
0.026 0.938 0.269 O
0.269 0.767 0.026 O
0.026 0.269 0.767 O
0.224 0.483 0.312 O
0.767 0.026 0.269 O
0.483 0.312 0.224 O
0.125 0.125 0.625 Co
0.625 0.125 0.125 Co
0.125 0.625 0.125 Co
0.125 0.125 0.125 Co
0.750 0.750 0.750 As
0.500 0.500 0.500 As
```

---

No. 11
A plane-wave DFT calculation with PBEsol was carried out for a relaxed structure of Tm5Si10Ir4.

formation energy (no corrections)	-0.9567	eV/atom
spin magnetization	0.00	Bohr magnetons per cell

The structure in POSCAR format:
```
Tm5Si10Ir4
1.0
4.183 0.000 0.000
0.000 12.456 0.000
0.000 0.000 12.456
Ir Si Tm
8 20 10
Direct
0.000 0.981 0.754 Ir
0.000 0.754 0.019 Ir
0.000 0.746 0.519 Ir
0.000 0.019 0.246 Ir
0.000 0.254 0.481 Ir
0.000 0.246 0.981 Ir
0.000 0.481 0.746 Ir
0.000 0.519 0.254 Ir
0.000 0.434 0.934 Si
0.000 0.335 0.300 Si
0.000 0.165 0.800 Si
0.000 0.665 0.700 Si
0.500 0.844 0.001 Si
0.000 0.835 0.200 Si
0.000 0.800 0.835 Si
0.500 0.344 0.499 Si
0.000 0.700 0.335 Si
0.500 0.499 0.656 Si
0.000 0.566 0.066 Si
0.500 0.001 0.156 Si
0.000 0.934 0.566 Si
0.500 0.156 0.999 Si
0.500 0.501 0.344 Si
0.000 0.066 0.434 Si
0.500 0.656 0.501 Si
0.000 0.200 0.165 Si
0.000 0.300 0.665 Si
0.500 0.999 0.844 Si
0.000 0.500 0.500 Tm
0.500 0.115 0.615 Tm
0.500 0.825 0.675 Tm
0.500 0.175 0.325 Tm
0.500 0.325 0.825 Tm
0.500 0.885 0.385 Tm
0.500 0.385 0.115 Tm
0.500 0.675 0.175 Tm
0.000 0.000 0.000 Tm
0.500 0.615 0.885 Tm
```

---

No. 12
A plane-wave DFT calculation with PBEsol was carried out for a relaxed structure of Mn2CrPb.

formation energy from the elements	501	meV per atom
spin magnetization	3.82	Bohr magnetons per cell

The structure in POSCAR format:
```
Mn2CrPb
1.0
3.098 0.000 0.000
0.000 3.098 0.000
0.000 0.000 6.419
Mn Pb Cr
2 1 1
Direct
0.000 0.000 0.695 Mn
0.000 0.000 0.305 Mn
0.500 0.500 0.000 Pb
0.500 0.500 0.500 Cr
```